# 1
Entry from Alexandria: crystalline Ce6IrOs3 at its relaxed geometry (PBE).

```
data_Ce6IrOs3
_symmetry_space_group_name_H-M 'P 1 21/m 1'
_symmetry_Int_Tables_number 11
_symmetry_space_group_name_Hall '-P 2yb'
_cell_length_a 11.4555
_cell_length_b 4.0339
_cell_length_c 11.6465
_cell_angle_alpha 90.00
_cell_angle_beta 109.58
_cell_angle_gamma 90.00
loop_
_atom_site_label
_atom_site_fract_x
_atom_site_fract_y
_atom_site_fract_z
Ce1 0.0398 0.2500 0.3955
Ce2 0.1071 0.2500 0.9446
Ce3 0.2371 0.7500 0.2724
Ce4 0.2793 0.7500 0.7583
Ce5 0.3920 0.2500 0.5530
Ce6 0.4258 0.7500 0.1045
Ir1 0.4442 0.2500 0.3128
Os1 0.0588 0.2500 0.1694
Os2 0.1975 0.7500 0.5095
Os3 0.3408 0.2500 0.9234
```

## Properties
calculated total energy	-8.05	eV/atom
N(E_F)	2.06	states/eV per atom

# 2
Entry from Alexandria: crystalline Ce3IrOs at its relaxed geometry (PBE).

```
data_Ce3IrOs
_symmetry_space_group_name_H-M 'P 1 21/c 1'
_symmetry_Int_Tables_number 14
_symmetry_space_group_name_Hall '-P 2ybc'
_cell_length_a 8.6006
_cell_length_b 7.3297
_cell_length_c 8.0841
_cell_angle_alpha 90.00
_cell_angle_beta 105.16
_cell_angle_gamma 90.00
loop_
_atom_site_label
_atom_site_fract_x
_atom_site_fract_y
_atom_site_fract_z
Ce1 0.0494 0.0023 0.2226
Ce2 0.2940 0.6531 0.1105
Ce3 0.3535 0.1859 0.9955
Ir1 0.4105 0.5378 0.8071
Os1 0.0528 0.1943 0.5202
```

## Properties
calculated total energy	-7.99	eV/atom
N(E_F)	2.24	states/eV per atom

# 3
Entry from Alexandria: crystalline Ce3IrOs at its relaxed geometry (PBE).

```
data_Ce3IrOs
_symmetry_space_group_name_H-M 'C 1 2/c 1'
_symmetry_Int_Tables_number 15
_symmetry_space_group_name_Hall '-C 2yc'
_cell_length_a 13.3276
_cell_length_b 10.1362
_cell_length_c 7.0266
_cell_angle_alpha 90.00
_cell_angle_beta 98.34
_cell_angle_gamma 90.00
loop_
_atom_site_label
_atom_site_fract_x
_atom_site_fract_y
_atom_site_fract_z
Ce1 0.1129 0.0231 0.4398
Ce2 0.1228 0.3177 0.4933
Ce3 0.1360 0.3259 0.0575
Ir1 0.0000 0.1869 0.7500
Ir2 0.0000 0.4906 0.7500
Os1 0.2399 0.4315 0.7903
```

## Properties
calculated total energy	-7.87	eV/atom
N(E_F)	1.96	states/eV per atom

# 4
Entry from Alexandria: crystalline Ce12Ir6Os at its relaxed geometry (PBE).

```
data_Ce12Ir6Os
_symmetry_space_group_name_H-M 'R -3'
_symmetry_Int_Tables_number 148
_symmetry_space_group_name_Hall '-R 3'
_cell_length_a 12.2862
_cell_length_b 12.2862
_cell_length_c 12.0549
_cell_angle_alpha 90.00
_cell_angle_beta 90.00
_cell_angle_gamma 120.00
loop_
_atom_site_label
_atom_site_fract_x
_atom_site_fract_y
_atom_site_fract_z
Ce1 0.0237 0.2131 0.3949
Ce2 0.0549 0.2115 0.8801
Ir1 0.0408 0.2661 0.6440
Os1 0.0000 0.0000 0.0000
```

## Properties
calculated total energy	-7.59	eV/atom
N(E_F)	3.09	states/eV per atom

# 5
Entry from Alexandria: crystalline Ce12IrOs6 at its relaxed geometry (PBE).

```
data_Ce12IrOs6
_symmetry_space_group_name_H-M 'R -3'
_symmetry_Int_Tables_number 148
_symmetry_space_group_name_Hall '-R 3'
_cell_length_a 12.3998
_cell_length_b 12.3998
_cell_length_c 11.6724
_cell_angle_alpha 90.00
_cell_angle_beta 90.00
_cell_angle_gamma 120.00
loop_
_atom_site_label
_atom_site_fract_x
_atom_site_fract_y
_atom_site_fract_z
Ce1 0.0249 0.8167 0.3903
Ce2 0.0356 0.8254 0.8823
Ir1 0.0000 0.0000 0.0000
Os1 0.0458 0.7820 0.6486
```

## Properties
calculated total energy	-7.90	eV/atom
N(E_F)	2.76	states/eV per atom

# 6
Entry from Alexandria: crystalline Ce8Ir2Os at its relaxed geometry (PBE).

```
data_Ce8Ir2Os
_symmetry_space_group_name_H-M 'C 1 2/m 1'
_symmetry_Int_Tables_number 12
_symmetry_space_group_name_Hall '-C 2y'
_cell_length_a 7.9700
_cell_length_b 12.6352
_cell_length_c 5.7228
_cell_angle_alpha 90.00
_cell_angle_beta 109.67
_cell_angle_gamma 90.00
loop_
_atom_site_label
_atom_site_fract_x
_atom_site_fract_y
_atom_site_fract_z
Ce1 0.0000 0.2212 0.0000
Ce2 0.1338 0.5000 0.8386
Ce3 0.1903 0.1076 0.5818
Ir1 0.0000 0.3118 0.5000
Os1 0.0000 0.0000 0.0000
```

## Properties
calculated total energy	-7.25	eV/atom
N(E_F)	2.61	states/eV per atom